Model a:
# NdEr4In

A relaxed NdEr4In crystal (PBE, Alexandria).

abc: 5.3648 12.2342 11.0112
angles: 90.00 90.00 90.00
Last column: nearest neighbours and their distance in Å.
Space group Cmc2_1 (No. 36)
Unique sites:
Nd1 0.0000 0.1809 0.0000  1 In 3.26, 8 Er 3.30-3.59
Er1 0.0000 0.0217 0.2880  2 In 3.10, 1 Nd 3.41, 1 Er 3.42
Er2 0.0000 0.1750 0.5679  1 In 3.13, 2 Nd 3.30, 3 Er 3.42-3.43
Er3 0.0000 0.3224 0.2833  2 In 3.43, 8 Er 3.48-3.68, 3 Nd 3.57-3.59
Er4 0.0000 0.4955 0.0266  2 In 3.29-3.30, 4 Er 3.43-3.53, 2 Nd 3.53
In1 0.0000 0.3524 0.7731  7 Er 3.10-3.43, 1 Nd 3.26

Output
- Total magnetization: 0.00 μB per cell
- Fermi-level density of states: 1.062 states/eV/atom


Model b:
# NdEr4In

A relaxed NdEr4In crystal (PBE, Alexandria).

abc: 3.5659 3.5659 14.1880
angles: 90.00 90.00 90.00
Last column: nearest neighbours and their distance in Å.
Space group P4/mmm (No. 123)
Unique sites:
Nd1 0.0000 0.0000 0.0000  4 Nd 3.57, 8 Er 3.59
Er1 0.0000 0.0000 0.3536  4 In 3.27, 8 Er 3.52-3.57
Er2 0.5000 0.5000 0.1802  8 Er 3.52-3.57, 4 Nd 3.59
In1 0.5000 0.5000 0.5000  8 Er 3.27, 4 In 3.57

Output
- Total magnetization: 0.00 μB per cell
- Fermi-level density of states: 1.063 states/eV/atom


Preferred: model b; penalty for the next structure: 22 meV/atom.


Model a:
# Nd3ErIn2

A relaxed Nd3ErIn2 crystal (PBE, Alexandria).

abc: 5.3121 10.0808 6.8292
angles: 90.00 90.00 90.00
Last column: nearest neighbours and their distance in Å.
Space group Pmc2_1 (No. 26)
Unique sites:
Nd1 0.0000 0.0351 0.0000  5 In 3.33-3.67, 4 Nd 3.49-3.57
Nd2 0.0000 0.3275 0.3401  5 In 3.19-3.52, 2 Er 3.52
Nd3 0.5000 0.1829 0.7286  5 In 3.25-3.54, 2 Nd 3.57, 1 Er 3.63
Er1 0.5000 0.4619 0.0651  5 In 3.29-3.69, 2 Er 3.50, 3 Nd 3.52-3.63
In1 0.0000 0.3567 0.8263  6 Nd 3.19-3.52, 2 Er 3.29
In2 0.5000 0.1466 0.2449  9 Nd 3.29-3.67, 1 Er 3.41

Output
- Total magnetization: 0.00 μB per cell
- Fermi-level density of states: 1.026 states/eV/atom


Model b:
# Nd3ErIn2

A relaxed Nd3ErIn2 crystal (PBE, Alexandria).

abc: 5.0350 15.6034 4.5988
angles: 90.00 90.00 90.00
Last column: nearest neighbours and their distance in Å.
Space group Cmmm (No. 65)
Unique sites:
Nd1 0.0000 0.0000 0.0000  4 In 3.32, 4 Er 3.41, 4 Nd 3.70
Nd2 0.0000 0.3264 0.0000  6 In 3.42-3.54, 4 Nd 3.47-3.70, 2 Er 3.55
Er1 0.0000 0.5000 0.5000  8 Nd 3.41-3.55, 4 In 3.48
In1 0.0000 0.1539 0.5000  8 Nd 3.32-3.54, 2 Er 3.48

Output
- Total magnetization: 0.00 μB per cell
- Fermi-level density of states: 1.081 states/eV/atom


Preferred: model a; penalty for the next structure: 38 meV/atom.


Model a:
# NdErInPb

A relaxed NdErInPb crystal (PBE, Alexandria).

abc: 5.0148 5.0148 8.9777
angles: 90.00 90.00 90.00
Last column: nearest neighbours and their distance in Å.
Space group I-4m2 (No. 119)
Unique sites:
Nd1 0.0000 0.0000 0.0000  4 In 3.37, 4 Pb 3.37, 4 Er 3.55
Er1 0.0000 0.0000 0.5000  4 In 3.37, 4 Pb 3.37, 4 Nd 3.55
In1 0.0000 0.5000 0.7500  4 Nd 3.37, 4 Er 3.37, 4 Pb 3.55
Pb1 0.0000 0.5000 0.2500  4 Er 3.37, 4 Nd 3.37, 4 In 3.55

Output
- Total magnetization: 0.00 μB per cell
- Fermi-level density of states: 0.838 states/eV/atom


Model b:
# NdErInPb

A relaxed NdErInPb crystal (PBE, Alexandria).

abc: 7.7069 7.7069 7.7069
angles: 90.00 90.00 90.00
Last column: nearest neighbours and their distance in Å.
Space group F-43m (No. 216)
Unique sites:
Nd1 0.0000 0.0000 0.0000  4 In 3.34, 4 Pb 3.34
Er1 0.0000 0.0000 0.5000  4 In 3.34, 4 Pb 3.34
In1 0.2500 0.2500 0.7500  4 Er 3.34, 4 Nd 3.34
Pb1 0.2500 0.2500 0.2500  4 Er 3.34, 4 Nd 3.34

Output
- Total magnetization: 0.00 μB per cell
- Fermi-level density of states: 0.776 states/eV/atom


Preferred: model a; penalty for the next structure: 45 meV/atom.


Model a:
# PmNdErIn

A relaxed PmNdErIn crystal (PBE, Alexandria).

abc: 7.8228 7.8228 7.8228
angles: 90.00 90.00 90.00
Last column: nearest neighbours and their distance in Å.
Space group F-43m (No. 216)
Unique sites:
Pm1 0.0000 0.0000 0.0000  4 Nd 3.39, 4 Er 3.39
Nd1 0.2500 0.2500 0.7500  4 In 3.39, 4 Pm 3.39
Er1 0.2500 0.2500 0.2500  4 In 3.39, 4 Pm 3.39
In1 0.0000 0.0000 0.5000  4 Er 3.39, 4 Nd 3.39

Output
- Total magnetization: 5.22 μB per cell
- Fermi-level density of states: 1.384 states/eV/atom


Model b:
# PmNdErIn

A relaxed PmNdErIn crystal (PBE, Alexandria).

abc: 4.8552 4.8552 10.0890
angles: 90.00 90.00 90.00
Last column: nearest neighbours and their distance in Å.
Space group I-4m2 (No. 119)
Unique sites:
Pm1 0.0000 0.0000 0.0000  4 Er 3.43, 4 In 3.50, 4 Nd 3.50
Nd1 0.0000 0.5000 0.7500  4 In 3.43, 4 Er 3.50, 4 Pm 3.50
Er1 0.0000 0.0000 0.5000  4 Pm 3.43, 4 In 3.50, 4 Nd 3.50
In1 0.0000 0.5000 0.2500  4 Nd 3.43, 4 Pm 3.50, 4 Er 3.50

Output
- Total magnetization: 0.00 μB per cell
- Fermi-level density of states: 1.459 states/eV/atom


Preferred: model b; penalty for the next structure: 122 meV/atom.


Model a:
# NdYErIn

A relaxed NdYErIn crystal (PBE, Alexandria).

abc: 4.8522 4.8861 4.9329
angles: 90.00 90.00 90.00
Last column: nearest neighbours and their distance in Å.
Space group Pmmm (No. 47)
Unique sites:
Nd1 0.0000 0.0000 0.0000  4 Er 3.44, 4 Y 3.46, 4 In 3.47
Y1 0.5000 0.0000 0.5000  4 In 3.44, 4 Nd 3.46, 4 Er 3.47
Er1 0.5000 0.5000 0.0000  4 Nd 3.44, 4 In 3.46, 4 Y 3.47
In1 0.0000 0.5000 0.5000  4 Y 3.44, 4 Er 3.46, 4 Nd 3.47

Output
- Total magnetization: 0.31 μB per cell
- Fermi-level density of states: 1.461 states/eV/atom


Model b:
# NdYErIn

A relaxed NdYErIn crystal (PBE, Alexandria).

abc: 7.7800 7.7800 7.7800
angles: 90.00 90.00 90.00
Last column: nearest neighbours and their distance in Å.
Space group F-43m (No. 216)
Unique sites:
Nd1 0.0000 0.0000 0.0000  4 In 3.37, 4 Er 3.37
Y1 0.0000 0.0000 0.5000  4 Er 3.37, 4 In 3.37
Er1 0.2500 0.2500 0.7500  4 Nd 3.37, 4 Y 3.37
In1 0.2500 0.2500 0.2500  4 Nd 3.37, 4 Y 3.37

Output
- Total magnetization: 3.86 μB per cell
- Fermi-level density of states: 1.530 states/eV/atom


Preferred: model a; penalty for the next structure: 111 meV/atom.


Model a:
# NdErZnIn

A relaxed NdErZnIn crystal (PBE, Alexandria).

abc: 7.4550 7.4550 7.4550
angles: 90.00 90.00 90.00
Last column: nearest neighbours and their distance in Å.
Space group F-43m (No. 216)
Unique sites:
Nd1 0.0000 0.0000 0.0000  4 In 3.23, 4 Zn 3.23
Er1 0.0000 0.0000 0.5000  4 In 3.23, 4 Zn 3.23
Zn1 0.2500 0.2500 0.2500  4 Er 3.23, 4 Nd 3.23
In1 0.2500 0.2500 0.7500  4 Er 3.23, 4 Nd 3.23

Output
- Total magnetization: 0.00 μB per cell
- Fermi-level density of states: 0.958 states/eV/atom


Model b:
# NdErZnIn

A relaxed NdErZnIn crystal (PBE, Alexandria).

abc: 3.6769 3.6769 7.5577
angles: 90.00 90.00 90.00
Last column: nearest neighbours and their distance in Å.
Space group P4mm (No. 99)
Unique sites:
Nd1 0.0000 0.0000 0.0000  4 Zn 3.23, 4 In 3.37, 1 Er 3.48
Er1 0.0000 0.0000 0.4608  4 Zn 3.04, 4 In 3.24
Zn1 0.5000 0.5000 0.2526  4 Er 3.04, 4 Nd 3.23
In1 0.5000 0.5000 0.7164  4 Er 3.24, 4 Nd 3.37, 1 Zn 3.51

Output
- Total magnetization: 0.00 μB per cell
- Fermi-level density of states: 0.859 states/eV/atom


Preferred: model b; penalty for the next structure: 28 meV/atom.


Model a:
# Er2InNi

A relaxed Er2InNi crystal (PBE, Alexandria).

abc: 3.4203 3.4203 7.6393
angles: 90.00 90.00 90.00
Last column: nearest neighbours and their distance in Å.
Space group P4/mmm (No. 123)
Unique sites:
Er1 0.0000 0.0000 0.2130  4 Ni 2.91, 1 Er 3.25, 4 In 3.26
In1 0.5000 0.5000 0.5000  8 Er 3.26, 4 In 3.42
Ni1 0.5000 0.5000 0.0000  8 Er 2.91

Output
- Total magnetization: 0.00 μB per cell
- Fermi-level density of states: 0.928 states/eV/atom


Model b:
# Er2InNi

A relaxed Er2InNi crystal (PBE, Alexandria).

abc: 3.3539 3.3539 30.4680
angles: 90.00 90.00 120.00
Last column: nearest neighbours and their distance in Å.
Space group R-3m (No. 166, hexagonal axes)
Unique sites:
Er1 0.0000 0.0000 0.0819  1 Ni 2.49
In1 0.0000 0.0000 0.5000  6 Er 3.23, 6 In 3.35
Ni1 0.0000 0.0000 0.0000  2 Er 2.49

Output
- Total magnetization: 0.00 μB per cell
- Fermi-level density of states: 0.569 states/eV/atom


Preferred: model a; penalty for the next structure: 700 meV/atom.


Model a:
# Er6In2Ni

A relaxed Er6In2Ni crystal (PBE, Alexandria).

abc: 8.6781 8.6781 3.6733
angles: 90.00 90.00 120.00
Last column: nearest neighbours and their distance in Å.
Space group P-62m (No. 189)
Unique sites:
Er1 0.0000 0.3972 0.0000  4 In 3.23, 1 Ni 3.45, 4 Er 3.52
Er2 0.0000 0.7640 0.5000  2 Ni 2.75
In1 0.3333 0.6667 0.5000  9 Er 3.23-3.40
Ni1 0.0000 0.0000 0.0000  6 Er 2.75

Output
- Total magnetization: 0.00 μB per cell
- Fermi-level density of states: 1.176 states/eV/atom


Model b:
# Er6In2Ni

A relaxed Er6In2Ni crystal (PBE, Alexandria).

abc: 7.0664 7.0583 12.2016
angles: 90.00 125.36 90.00
Last column: nearest neighbours and their distance in Å.
Space group P2_1/c (No. 14)
Unique sites:
Er1 0.2178 0.0002 0.2451  1 Ni 2.54
Er2 0.2567 0.2478 0.0134  1 Ni 2.55
Er3 0.2612 0.7437 0.5138  1 Ni 2.54
In1 0.2498 0.5011 0.2499  12 Er 3.34-3.73
Ni1 0.5000 0.0000 0.5000  6 Er 2.54-2.55

Output
- Total magnetization: 0.00 μB per cell
- Fermi-level density of states: 1.061 states/eV/atom


Preferred: model a; penalty for the next structure: 74 meV/atom.